Below is a relaxed Er2AlRh2 crystal, with properties calculated at the GGA-PBE level.

Energy of formation in meV/atom: -927
M_tot in μB per cell: 0.0
Uncorrected energy in eV/atom: -6.4416

Cell: 5.7326 5.7326 7.5238 Å, 102.97 102.97 56.50°
Element x y z (fractional)
1 Er 0.0032 0.2916 0.1496
2 Er 0.2916 0.0032 0.6496
3 Er 0.7084 0.9968 0.3504
4 Er 0.9968 0.7084 0.8504
5 Al 0.3641 0.6359 0.2500
6 Al 0.6359 0.3641 0.7500
7 Rh 0.2309 0.5069 0.4931
8 Rh 0.4931 0.7691 0.0069
9 Rh 0.5069 0.2309 0.9931
10 Rh 0.7691 0.4931 0.5069

Below is a relaxed Np2Si2Se7 crystal, with properties calculated at the GGA-PBE level.

M_tot in μB per cell: 7.9
Uncorrected energy in eV/atom: -6.0973
E_form (uncorrected) in eV/atom: -0.541

Cell: 7.3092 7.3092 6.3111 Å, 96.92 96.92 100.22°
Element x y z (fractional)
1 Np 0.1978 0.8022 0.0000
2 Np 0.8022 0.1978 0.0000
3 Si 0.2717 0.2717 0.5909
4 Si 0.7283 0.7283 0.4091
5 Se 0.0702 0.4198 0.7700
6 Se 0.1080 0.1080 0.2657
7 Se 0.4198 0.0702 0.7700
8 Se 0.5000 0.5000 0.5000
9 Se 0.5802 0.9298 0.2300
10 Se 0.8920 0.8920 0.7343
11 Se 0.9298 0.5802 0.2300

Below is a relaxed CaPPt4 crystal, with properties calculated at the GGA-PBE level.

Energy above the most stable polymorph in this dataset in meV per atom: 0
Energy of formation in meV/atom: -634
M_tot in μB per cell: 0.0
Uncorrected energy in eV/atom: -5.8963

Cell: 7.9184 7.9184 6.7428 Å, 90.00 90.00 151.06°
Element x y z (fractional)
1 Ca 0.1016 0.8984 0.7500
2 Ca 0.8984 0.1016 0.2500
3 P 0.2396 0.7604 0.2500
4 P 0.7604 0.2396 0.7500
5 Pt 0.0870 0.9130 0.2500
6 Pt 0.3159 0.6841 0.5413
7 Pt 0.3159 0.6841 0.9587
8 Pt 0.5000 0.5000 0.0000
9 Pt 0.5000 0.5000 0.5000
10 Pt 0.6841 0.3159 0.0413
11 Pt 0.6841 0.3159 0.4587
12 Pt 0.9130 0.0870 0.7500